A plane-wave DFT calculation with PBE-GGA was carried out for a geometry-optimized CaPmIn structure.

POSCAR file:
```
CaPmIn
1.0
5.5100 0.0000 0.0000
-2.7550 4.7718 0.0000
0.0000 0.0000 6.9486
Ca Pm In
2 2 2
Cartesian
0.0000 0.0000 0.0000
0.0000 0.0000 3.4743
0.0000 3.1812 1.7371
2.7550 1.5906 5.2114
0.0000 3.1812 5.2114
2.7550 1.5906 1.7371
```

## Properties
DOS at the Fermi energy: 2.0 states/eV per cell
distance to the lowest polymorph of the same formula: 0 meV/atom
theoretical density: 5.45 Mg/m³
space-group type: P6_3/mmc (194)
calculated formation energy: -0.420 eV/atom